[1]
VASP calculation (PBE) on crystalline RbLiCdHg2 at its relaxed geometry.

Cell lengths 5.378, 5.378, 5.376 Å; angles 90.00, 90.00, 90.00 degrees
Fractional coordinates of all 5 atoms:
Rb1 0.000 0.000 0.000
Li1 0.500 0.500 0.500
Cd1 0.500 0.500 0.000
Hg1 0.000 0.500 0.500
Hg2 0.500 0.000 0.500

Values from the calculation:
* DFT total energy: -1.0048 eV per atom
* calculated formation energy: -0.62 eV/f.u.
* relative energy among the computed polymorphs: 0 meV per atom

---

[2]
VASP calculation (PBE) on crystalline PrDyMnCd at its relaxed geometry.

Cell lengths 5.271, 5.271, 5.271 Å; angles 60.00, 60.00, 60.00 degrees
Fractional coordinates of all 4 atoms:
Pr1 0.000 0.000 0.000
Dy1 0.500 0.500 0.500
Mn1 0.250 0.250 0.250
Cd1 0.750 0.750 0.750

Values from the calculation:
* DFT total energy: -4.8557 eV per atom
* calculated formation energy: 0.04 eV/f.u.

---

[3]
VASP calculation (PBE) on crystalline PmWN at its relaxed geometry.

Cell lengths 3.447, 3.491, 9.181 Å; angles 88.60, 87.78, 82.14 degrees
Fractional coordinates of all 6 atoms:
Pm1 0.188 0.195 0.319
Pm2 0.812 0.805 0.681
W1 0.285 0.279 0.938
W2 0.715 0.721 0.062
N1 0.361 0.650 0.495
N2 0.639 0.350 0.505

Values from the calculation:
* DFT total energy: -8.6564 eV per atom
* ΔE_f (raw): 0.020 eV per atom

---

[4]
VASP calculation (PBE) on crystalline Ca2RuCl at its relaxed geometry.

Cell lengths 4.120, 4.120, 5.748 Å; angles 90.00, 90.00, 90.00 degrees
Fractional coordinates of all 4 atoms:
Ca1 0.000 0.000 0.000
Ca2 0.500 0.500 0.500
Ru1 0.000 0.000 0.500
Cl1 0.500 0.500 0.000

Values from the calculation:
* DFT total energy: -4.1980 eV per atom
* relative energy among the computed polymorphs: 225 meV per atom
* ΔE_f (raw): -0.417 eV per atom

---

[5]
VASP calculation (PBE) on crystalline Se2Br3Cl4 at its relaxed geometry.

Cell lengths 10.466, 10.466, 7.856 Å; angles 105.26, 105.26, 87.36 degrees
Fractional coordinates of all 18 atoms:
Se1 0.058 0.658 0.744
Se2 0.342 0.942 0.756
Se3 0.658 0.058 0.244
Se4 0.942 0.342 0.256
Br1 0.081 0.919 0.750
Br2 0.160 0.292 0.206
Br3 0.292 0.160 0.706
Br4 0.708 0.840 0.294
Br5 0.840 0.708 0.794
Br6 0.919 0.081 0.250
Cl1 0.037 0.434 0.698
Cl2 0.250 0.678 0.970
Cl3 0.322 0.750 0.530
Cl4 0.434 0.037 0.198
Cl5 0.566 0.963 0.802
Cl6 0.678 0.250 0.470
Cl7 0.750 0.322 0.030
Cl8 0.963 0.566 0.302

Values from the calculation:
* DFT total energy: -2.2821 eV per atom
* ΔE_f (raw): -0.129 eV per atom

---

[6]
VASP calculation (PBE) on crystalline InPb2S at its relaxed geometry.

Cell lengths 10.757, 10.757, 10.757 Å; angles 19.46, 19.46, 19.46 degrees
Fractional coordinates of all 4 atoms:
In1 0.000 0.000 0.000
Pb1 0.104 0.104 0.104
Pb2 0.896 0.896 0.896
S1 0.500 0.500 0.500

Values from the calculation:
* DFT total energy: -3.5728 eV per atom
* relative energy among the computed polymorphs: 0 meV per atom
* ΔE_f (raw): -0.002 eV per atom